VASP calculation (PBE-GGA) on a relaxed KYCu2 crystal.

Summary:
Size of the total moment = 0.000 μB per atom
Energy of formation from the pure elements = 0.55 eV/atom
Relative energy among the computed polymorphs = 0.487 eV/atom
Density of states at the Fermi level = 1.273 states/eV per atom
Mass density = 5.04 g/cm3

Cell: 4.9175 4.9175 4.9175 Å, 60.00 60.00 60.00°
Last column: nearest neighbours and their distance in Å.
Sites, in units of the cell vectors:
1 Cu 0.0000 0.0000 0.0000  4 Cu 3.01, 4 Y 3.01
2 K 0.5000 0.5000 0.5000  4 Cu 3.01, 4 Y 3.01
3 Y 0.7500 0.7500 0.7500  4 K 3.01, 4 Cu 3.01
4 Cu 0.2500 0.2500 0.2500  4 K 3.01, 4 Cu 3.01